No. 1
## CsLaBe2Ru (meta-GGA SCAN)

Data for CsLaBe2Ru at its PBEsol-relaxed geometry.

Geometry as POSCAR:
```
CsLaBe2Ru
1.0
4.7656 0.0000 0.0000
0.0000 5.8094 0.0000
0.0000 0.0000 5.8094
Cs Ru Be La
1 1 2 1
direct
0.5000 0.5000 0.5000
0.5000 0.0000 0.0000
0.0000 0.0000 0.5000
0.0000 0.5000 0.0000
0.0000 0.0000 0.0000
```

Calculated values
Space-group type = P4/mmm (123)

***

No. 2
## Cs2LiBe (meta-GGA SCAN)

Data for Cs2LiBe at its PBEsol-relaxed geometry.

Geometry as POSCAR:
```
Cs2LiBe
1.0
-0.2372 -1.6102 -6.1496
-5.1738 -2.8676 -2.3398
-3.8589 3.1408 -3.9637
Cs Be Li
2 1 1
direct
0.2500 0.2500 0.2500
0.7500 0.7500 0.7500
0.5000 0.5000 0.5000
0.0000 0.0000 0.0000
```

Calculated values
Space-group type = Fm-3m (225)

***

No. 3
## CsNaLiBe2 (meta-GGA SCAN)

Data for CsNaLiBe2 at its PBEsol-relaxed geometry.

Geometry as POSCAR:
```
CsNaLiBe2
1.0
-0.0327 2.9185 4.4564
3.3793 -3.4337 2.2735
4.7433 3.2723 -2.1082
Cs Na Li Be
1 1 1 2
direct
0.0000 0.0000 0.5000
0.0000 0.0000 0.0000
0.5000 0.5000 0.5000
0.0000 0.5000 0.0000
0.5000 0.0000 0.0000
```

Calculated values
Space-group type = P4/mmm (123)

***

Number 1: Fermi-level density of states 6.09 states/eV/cell, DFT total energy -117.1 eV per formula unit. Number 2: Fermi-level density of states 3.86 states/eV/cell, DFT total energy -79.4 eV per formula unit. Number 3: Fermi-level density of states 3.51 states/eV/cell, DFT total energy -46.7 eV per formula unit.